Density functional theory data (PBE with a Hubbard U) for a relaxed structure of Li2NpMnO6.

a b c (Å): 5.414 5.253 5.525
angles (deg): 62.09 63.66 58.14
Site moments in Bohr magnetons follow the coordinates.
Element x y z (fractional)
Li 0.572 0.519 0.388  0.00
Li 0.006 0.046 0.913  0.00
Np 0.319 0.321 0.036  0.20
Mn 0.818 0.820 0.540  3.86
O 0.605 0.193 0.267  -0.04
O 0.236 0.949 0.253  0.00
O 0.943 0.589 0.286  -0.04
O 0.405 0.690 0.793  0.00
O 0.697 0.090 0.757  -0.04
O 0.061 0.445 0.783  -0.04

uncorrected energy	-7.57	eV/atom
spin magnetization	0.400	μB/atom
calculated volume	114	Å³/cell